# Sm3YEr7 PBE-GGA relaxed
data_Sm3YEr7
_chemical_formula_sum 'Sm6 Y2 Er14'
_cell_length_a 5.792
_cell_length_b 11.135
_cell_length_c 11.136
_cell_angle_alpha 90.00
_cell_angle_beta 90.00
_cell_angle_gamma 90.00
_space_group_name_H-M_alt 'I m m m'
_space_group_IT_number 71
_space_group_name_Hall '-I 2 2'
loop_
_atom_site_label
_atom_site_type_symbol
_atom_site_fract_x
_atom_site_fract_y
_atom_site_fract_z
_atom_site_occupancy
Sm1 Sm 0.000 0.000 0.000 1
Sm2 Sm 0.000 0.500 0.288 1
Y1 Y 0.000 0.000 0.500 1
Er1 Er 0.000 0.209 0.194 1
Er2 Er 0.000 0.295 0.500 1
Er3 Er 0.000 0.500 0.000 1
# * spin magnetization: 0.38 μB/f.u.
# * energy above the most stable polymorph in this dataset: 2.790 kcal/mol of atoms
# * raw total energy: -99.09 eV per cell
# * formation enthalpy at 0 K: 0.274 eV per atom